[1]
First-principles (PBE-GGA) data for TaH2 after structural relaxation, as listed in the Open Quantum Materials Database.

```
6
Lattice="0.0000 3.0244 3.0244 3.0244 0.0000 3.0244 3.0244 3.0244 0.0000" Properties=species:S:1:pos:R:3 pbc="T T T"
H 3.7804 2.2683 2.2683
H 2.2683 2.2683 3.7804
H 3.7804 3.7804 3.7804
H 2.2683 3.7804 2.2683
Ta 0.0000 0.0000 0.0000
Ta 1.5122 1.5122 1.5122
```

Summary:
The total energy is -31.4 eV/cell. The spin magnetization comes out at 0.5 μB/cell. As for the crystal system: cubic.

---

[2]
First-principles (PBE-GGA) data for TaH after structural relaxation, as listed in the Open Quantum Materials Database.

```
4
Lattice="2.1020 0.6291 -2.0064 -2.5875 1.0631 -1.0072 0.8724 4.2521 2.2471" Properties=species:S:1:pos:R:3 pbc="T T T"
Ta -1.2937 0.5316 -0.5036
Ta 1.4872 2.4406 0.1203
H 0.6543 3.1891 1.6853
H 0.2181 1.0630 0.5618
```

Summary:
The total energy is -31.1 eV/cell. The spin magnetization comes out at 0.0 μB/cell. As for the crystal system: orthorhombic.

---

[3]
First-principles (PBE-GGA) data for TaH2 after structural relaxation, as listed in the Open Quantum Materials Database.

```
12
Lattice="-0.9632 0.4304 5.0955 -3.0991 -0.3713 -0.5545 0.5483 -5.4143 0.5610" Properties=species:S:1:pos:R:3 pbc="T T T"
H -0.9207 -2.1781 2.0731
H -3.0697 -1.6428 4.6641
H -2.6741 -1.0093 2.0283
H -0.4443 -3.7123 0.4380
H -2.5934 -3.1770 3.0290
H -1.9298 -5.1899 0.6675
H -0.8400 -4.3458 3.0737
H -1.5843 -0.1652 4.4346
Ta -2.2362 -3.2841 1.1041
Ta -2.5246 -4.9767 3.8496
Ta -1.2778 -2.0711 3.9979
Ta -0.9894 -0.3785 1.2525
```

Summary:
The total energy is -75.2 eV/cell. The spin magnetization comes out at 0.0 μB/cell. As for the crystal system: orthorhombic.

---

[4]
First-principles (PBE-GGA) data for TbTaH4 after structural relaxation, as listed in the Open Quantum Materials Database.

```
6
Lattice="-1.9550 -1.4440 2.3817 0.8605 -3.0806 -1.1614 3.7514 -0.0919 3.0235" Properties=species:S:1:pos:R:3 pbc="T T T"
H 3.3989 -1.6131 1.8119
H -0.1947 -0.7412 1.8218
H 1.2131 -1.5595 0.0502
H 1.9911 -0.7948 3.5835
Tb 1.3285 -2.3083 2.1219
Ta 0.0000 0.0000 0.0000
```

Summary:
The total energy is -32.1 eV/cell. The spin magnetization comes out at 0.0 μB/cell. As for the crystal system: tetragonal.